# Mg2GaWO6 | Alexandria via LeMat-Bulk | PBE with a Hubbard U | optimized geometry
# magnetization: 0.099 μB per atom
# total energy: -6.2923 eV per atom
# V: 132.8 Å³/cell
# Fermi-level density of states: 0.000 states/eV per atom
data_Mg2GaWO6
_chemical_formula_sum 'Mg2 Ga1 W1 O6'
_symmetry_space_group_name_H-M 'P 1'
_symmetry_Int_Tables_number 1
_cell_length_a 4.893
_cell_length_b 5.210
_cell_length_c 5.210
_cell_angle_alpha 90.00
_cell_angle_beta 90.00
_cell_angle_gamma 90.00
loop_
_symmetry_equiv_pos_as_xyz
'x,y,z'
loop_
_atom_site_label
_atom_site_fract_x
_atom_site_fract_y
_atom_site_fract_z
Mg1 0.938 0.500 0.000
Mg2 0.938 0.000 0.500
Ga1 0.582 0.000 0.000
W1 0.583 0.500 0.500
O1 0.744 0.251 0.251
O2 0.744 0.251 0.749
O3 0.216 0.500 0.500
O4 0.215 0.000 0.000
O5 0.744 0.749 0.749
O6 0.744 0.749 0.251